Entry 1:
An optimized crystal structure of HfSc2TlSn, computed with GGA-PBE.

The space group is P4/mmm (No. 123) and the conventional cell measures 5.278, 5.278 and 5.323 Å, with angles of 90.00, 90.00 and 90.00 degrees. The distinct sites, in fractional coordinates, are Hf at (0.000, 0.000, 0.000), Sc at (0.000, 0.500, 0.500), Tl at (0.500, 0.500, 0.000) and Sn at (0.000, 0.000, 0.500).

For the density of states at the Fermi level, the calculation gives 0.6939 states/eV/atom. The calculation puts the formation energy at 0.4161 eV/atom.



Entry 2:
An optimized crystal structure of LiAgAu2, computed with GGA-PBE.

The space group is Immm (No. 71) and the conventional cell measures 2.817, 4.900 and 10.763 Å, with angles of 90.00, 90.00 and 90.00 degrees. The distinct sites, in fractional coordinates, are Li at (0.000, 0.000, 0.000), Ag at (0.000, 0.000, 0.500) and Au at (0.000, 0.000, 0.242).

For the density of states at the Fermi level, the calculation gives 0.3104 states/eV/atom. Its energy above the lowest structure with this stoichiometry is 266 meV per atom. The calculation puts the formation energy at -0.0455 eV/atom.



Entry 3:
An optimized crystal structure of HoTc2B6, computed with GGA-PBE.

The space group is P6/mmm (No. 191) and the conventional cell measures 5.3093, 5.3093 and 3.5056 Å, with angles of 90.00, 90.00 and 120.00 degrees. The distinct sites, in fractional coordinates, are Ho at (0.0000, 0.0000, 0.0000), Tc at (0.3333, 0.6667, 0.0000) and B at (0.0000, 0.3405, 0.5000).

For the density of states at the Fermi level, the calculation gives 0.5699 states/eV/atom. Its energy above the lowest structure with this stoichiometry is 139 meV per atom. The calculation puts the formation energy at -0.3285 eV/atom.



Entry 4:
An optimized crystal structure of PrThSi2, computed with GGA-PBE.

The space group is R-3m (No. 166, hexagonal axes) and the conventional cell measures 4.2722, 4.2722 and 21.0173 Å, with angles of 90.00, 90.00 and 120.00 degrees. The distinct sites, in fractional coordinates, are Pr at (0.0000, 0.0000, 0.0000), Th at (0.0000, 0.0000, 0.5000) and Si at (0.0000, 0.0000, 0.2482).

For the density of states at the Fermi level, the calculation gives 0.6107 states/eV/atom. Its energy above the lowest structure with this stoichiometry is 174 meV per atom. The value obtained for the energy relative to the elements, uncorrected is -0.53 eV per atom.



Entry 5:
An optimized crystal structure of NaLaSi2Hg, computed with GGA-PBE.

The space group is P4/mmm (No. 123) and the conventional cell measures 5.550, 5.550 and 6.992 Å, with angles of 90.00, 90.00 and 90.00 degrees. The distinct sites, in fractional coordinates, are Na at (0.000, 0.000, 0.000), La at (0.000, 0.000, 0.500), Si at (0.000, 0.500, 0.500) and Hg at (0.500, 0.500, 0.000).

For the density of states at the Fermi level, the calculation gives 0.8315 states/eV/atom. The value obtained for the energy relative to the elements, uncorrected is 0.93 eV per atom.



Entry 6:
An optimized crystal structure of Th2Cd3Au2, computed with GGA-PBE.

The space group is C2/m (No. 12) and the conventional cell measures 10.617, 4.499 and 7.287 Å, with angles of 90.00, 93.80 and 90.00 degrees. The distinct sites, in fractional coordinates, are Th at (0.116, 0.000, 0.346), Cd at (0.000, 0.500, 0.000), Cd at (0.191, 0.000, 0.874) and Au at (0.104, 0.500, 0.639).

For the density of states at the Fermi level, the calculation gives 0.7488 states/eV/atom. The calculation puts the formation energy at -0.3558 eV/atom.